DFT (GGA-PBE) results for ThCdBi2 after structural relaxation.

Properties
As for the formation energy: -0.303 eV/atom. The density of states at the Fermi level is 2.4 states/eV per cell. Its total magnetization is 0.00 Bohr magnetons per cell. The calculation puts the mass density at 10.5 g/cm³.

Cell lengths 4.2205, 4.2205, 6.7945 Å; angles 90.00, 90.00, 90.00 degrees
Fractional coordinates of all 4 atoms:
1 Th 0.0000 0.0000 0.0000
2 Cd 0.0000 0.0000 0.5000
3 Bi 0.5000 0.5000 0.2418
4 Bi 0.5000 0.5000 0.7582


DFT (GGA-PBE) results for ThCdBi after structural relaxation.

Properties
For the offset from the most stable computed form, the calculation gives 30 meV per atom. As for the formation energy: -0.154 eV/atom. The density of states at the Fermi level is 2.2 states/eV per cell. Its total magnetization is 0.00 Bohr magnetons per cell. The calculation puts the mass density at 10.6 g/cm³.

Cell lengths 5.4185, 5.4185, 3.4019 Å; angles 90.00, 90.00, 120.00 degrees
Fractional coordinates of all 3 atoms:
1 Th 0.0000 0.0000 0.0000
2 Cd 0.6667 0.3333 0.4979
3 Bi 0.3333 0.6667 0.5012